[1]
Crystalline Tb5PmEr3 at its relaxed geometry, computed with PBE.

Values from the calculation:
**Polymorph energy (0 for the lowest one)**: 0 meV/atom
**Final energy**: -82.1 eV for the cell shown
**ρ**: 8.418 g/cm³
**DOS(E_F)**: 30.20 states/eV per cell

POSCAR file:
```
Tb5PmEr3
1.0
-3.495 8.409 4.838
3.495 -8.409 4.838
3.495 8.409 -4.838
Tb Pm Er
10 2 6
Direct
0.151 0.401 0.750 Tb
0.154 0.071 0.083 Tb
0.179 0.595 0.584 Tb
0.488 0.071 0.417 Tb
0.489 0.405 0.084 Tb
0.511 0.595 0.916 Tb
0.512 0.929 0.583 Tb
0.821 0.405 0.416 Tb
0.846 0.929 0.917 Tb
0.849 0.599 0.250 Tb
0.183 0.933 0.250 Pm
0.817 0.067 0.750 Pm
0.169 0.000 0.669 Er
0.169 0.500 0.169 Er
0.500 0.000 0.000 Er
0.500 0.500 0.500 Er
0.831 0.000 0.331 Er
0.831 0.500 0.831 Er
```

---

[2]
Crystalline La2CdTc at its relaxed geometry, computed with PBE.

Values from the calculation:
**Final energy**: -40.9 eV for the cell shown
**ρ**: 8.260 g/cm³
**DOS(E_F)**: 11.56 states/eV per cell

POSCAR file:
```
La2CdTc
1.0
4.642 0.000 0.000
0.000 4.642 0.000
0.000 0.000 9.111
La Cd Tc
4 2 2
Direct
0.000 0.000 0.000 La
0.000 0.500 0.250 La
0.500 0.000 0.750 La
0.500 0.500 0.500 La
0.000 0.000 0.500 Cd
0.500 0.500 0.000 Cd
0.000 0.500 0.750 Tc
0.500 0.000 0.250 Tc
```

---

[3]
Crystalline LiB3As at its relaxed geometry, computed with PBE.

Values from the calculation:
**Polymorph energy (0 for the lowest one)**: 309 meV/atom
**Final energy**: -16.5 eV for the cell shown
**ρ**: 3.370 g/cm³
**DOS(E_F)**: 2.36 states/eV per cell

POSCAR file:
```
LiB3As
1.0
3.833 0.000 0.000
0.000 3.833 0.000
0.000 0.000 3.833
Li B As
1 3 1
Direct
0.000 0.000 0.000 Li
0.000 0.000 0.500 B
0.000 0.500 0.000 B
0.500 0.000 0.000 B
0.500 0.500 0.500 As
```

---

[4]
Crystalline YZnRe2 at its relaxed geometry, computed with PBE.

Values from the calculation:
**Final energy**: -61.4 eV for the cell shown
**ρ**: 12.893 g/cm³
**DOS(E_F)**: 7.11 states/eV per cell

POSCAR file:
```
YZnRe2
1.0
3.235 0.000 0.000
0.000 4.521 0.000
0.000 0.000 9.276
Y Zn Re
2 2 4
Direct
0.000 0.000 0.000 Y
0.500 0.500 0.000 Y
0.000 0.000 0.500 Zn
0.500 0.500 0.500 Zn
0.000 0.500 0.271 Re
0.000 0.500 0.729 Re
0.500 0.000 0.271 Re
0.500 0.000 0.729 Re
```

---

[5]
Crystalline Dy4PSe2Br at its relaxed geometry, computed with PBE.

Values from the calculation:
**Formation energy without anion corrections**: -1552.3 meV per atom
**Final energy**: -44.9 eV for the cell shown
**ρ**: 7.906 g/cm³
**DOS(E_F)**: 3.35 states/eV per cell

POSCAR file:
```
Dy4PSe2Br
1.0
7.014 0.000 0.000
0.000 4.065 0.000
-2.347 0.000 6.769
Dy P Se Br
4 1 2 1
Direct
0.237 0.000 0.218 Dy
0.258 0.500 0.785 Dy
0.742 0.500 0.215 Dy
0.763 0.000 0.782 Dy
0.000 0.500 0.000 P
0.500 0.000 0.000 Se
0.500 0.500 0.500 Se
0.000 0.000 0.500 Br
```

---

[6]
Crystalline U2SnOs at its relaxed geometry, computed with PBE.

Values from the calculation:
**Polymorph energy (0 for the lowest one)**: 108 meV/atom
**Final energy**: -111.8 eV for the cell shown
**ρ**: 15.975 g/cm³
**DOS(E_F)**: 23.02 states/eV per cell

POSCAR file:
```
U2SnOs
1.0
3.044 0.000 0.000
-1.522 2.636 0.000
0.000 0.000 30.506
U Sn Os
6 3 3
Direct
0.000 0.000 0.242 U
0.000 0.000 0.758 U
0.333 0.667 0.424 U
0.333 0.667 0.909 U
0.667 0.333 0.091 U
0.667 0.333 0.576 U
0.000 0.000 0.000 Sn
0.333 0.667 0.667 Sn
0.667 0.333 0.333 Sn
0.000 0.000 0.500 Os
0.333 0.667 0.167 Os
0.667 0.333 0.833 Os
```